This record from Alexandria describes a relaxed structure of BaHoBeN2. The functional is PBE-GGA.

SG = P2/c (13)
Formation energy without anion corrections = -79 kJ/mol of atoms
Calculated volume = 201.87 Å³ per cell

The structure in CIF format:
```
data_BaHoBeN2
_chemical_formula_sum 'Ba2 Ho2 Be2 N4'
_cell_length_a 5.733
_cell_length_b 5.195
_cell_length_c 6.778
_cell_angle_alpha 90.00
_cell_angle_beta 90.01
_cell_angle_gamma 90.00
_symmetry_space_group_name_H-M 'P 1'
_symmetry_Int_Tables_number 1
_symmetry_space_group_name_Hall 'P 1'
loop_
_atom_site_label
_atom_site_fract_x
_atom_site_fract_y
_atom_site_fract_z
Ba1 0.000 0.001 0.250
Ba2 0.000 0.999 0.750
Ho1 0.500 0.500 0.250
Ho2 0.500 0.500 0.750
Be1 0.500 0.000 0.000
Be2 0.500 0.000 0.500
N1 0.346 0.244 0.000
N2 0.346 0.756 0.500
N3 0.654 0.244 0.500
N4 0.654 0.756 0.000
```


This record from Alexandria describes a relaxed structure of La3AsS. The functional is PBE-GGA.

SG = Pm-3m (221)
Formation energy without anion corrections = -89 kJ/mol of atoms
Excess energy over the best structure of this formula in the dataset = 255 meV per atom
Calculated volume = 157.32 Å³ per cell

The structure in CIF format:
```
data_La3AsS
_chemical_formula_sum 'La3 As1 S1'
_cell_length_a 5.398
_cell_length_b 5.398
_cell_length_c 5.398
_cell_angle_alpha 90.00
_cell_angle_beta 90.00
_cell_angle_gamma 90.00
_symmetry_space_group_name_H-M 'P 1'
_symmetry_Int_Tables_number 1
_symmetry_space_group_name_Hall 'P 1'
loop_
_atom_site_label
_atom_site_fract_x
_atom_site_fract_y
_atom_site_fract_z
La1 0.000 0.000 0.500
La2 0.000 0.500 0.000
La3 0.500 0.000 0.000
As1 0.500 0.500 0.500
S1 0.000 0.000 0.000
```


This record from Alexandria describes a relaxed structure of ScSiTc4. The functional is PBE-GGA.

SG = F-43m (216)
Formation energy without anion corrections = 7 kJ/mol of atoms
Calculated volume = 96.52 Å³ per cell

The structure in CIF format:
```
data_ScSiTc4
_chemical_formula_sum 'Sc1 Si1 Tc4'
_cell_length_a 5.149
_cell_length_b 5.149
_cell_length_c 5.149
_cell_angle_alpha 60.00
_cell_angle_beta 60.00
_cell_angle_gamma 60.00
_symmetry_space_group_name_H-M 'P 1'
_symmetry_Int_Tables_number 1
_symmetry_space_group_name_Hall 'P 1'
loop_
_atom_site_label
_atom_site_fract_x
_atom_site_fract_y
_atom_site_fract_z
Sc1 0.000 0.000 0.000
Si1 0.750 0.750 0.750
Tc1 0.376 0.376 0.376
Tc2 0.376 0.376 0.872
Tc3 0.376 0.872 0.376
Tc4 0.872 0.376 0.376
```


This record from Alexandria describes a relaxed structure of Tb8Y4Ho3. The functional is PBE-GGA.

SG = R-3m (166)
Excess energy over the best structure of this formula in the dataset = 0 meV per atom
E_form = 0.1363 eV per atom
Calculated volume = 489.31 Å³ per cell

The structure in CIF format:
```
data_Tb8Y4Ho3
_chemical_formula_sum 'Tb8 Y4 Ho3'
_cell_length_a 12.437
_cell_length_b 12.437
_cell_length_c 12.437
_cell_angle_alpha 32.34
_cell_angle_beta 32.34
_cell_angle_gamma 32.34
_symmetry_space_group_name_H-M 'P 1'
_symmetry_Int_Tables_number 1
_symmetry_space_group_name_Hall 'P 1'
loop_
_atom_site_label
_atom_site_fract_x
_atom_site_fract_y
_atom_site_fract_z
Tb1 0.245 0.245 0.245
Tb2 0.247 0.750 0.750
Tb3 0.250 0.250 0.753
Tb4 0.250 0.753 0.250
Tb5 0.750 0.247 0.750
Tb6 0.750 0.750 0.247
Tb7 0.753 0.250 0.250
Tb8 0.755 0.755 0.755
Y1 0.000 0.000 0.000
Y2 0.336 0.336 0.336
Y3 0.500 0.500 0.500
Y4 0.664 0.664 0.664
Ho1 0.000 0.000 0.500
Ho2 0.000 0.500 0.000
Ho3 0.500 0.000 0.000
```


This record from Alexandria describes a relaxed structure of Tb6DyTh3. The functional is PBE-GGA.

SG = R-3 (148)
E_form = 0.3420 eV per atom
Calculated volume = 337.36 Å³ per cell

The structure in CIF format:
```
data_Tb6DyTh3
_chemical_formula_sum 'Tb6 Dy1 Th3'
_cell_length_a 6.962
_cell_length_b 6.962
_cell_length_c 6.962
_cell_angle_alpha 90.30
_cell_angle_beta 90.30
_cell_angle_gamma 90.30
_symmetry_space_group_name_H-M 'P 1'
_symmetry_Int_Tables_number 1
_symmetry_space_group_name_Hall 'P 1'
loop_
_atom_site_label
_atom_site_fract_x
_atom_site_fract_y
_atom_site_fract_z
Tb1 0.079 0.749 0.419
Tb2 0.251 0.581 0.921
Tb3 0.419 0.079 0.749
Tb4 0.581 0.921 0.251
Tb5 0.749 0.419 0.079
Tb6 0.921 0.251 0.581
Dy1 0.000 0.000 0.000
Th1 0.249 0.249 0.249
Th2 0.500 0.500 0.500
Th3 0.751 0.751 0.751
```


This record from Alexandria describes a relaxed structure of ErUTlO6. The functional is PBE-GGA.

SG = P-31c (163)
Formation energy without anion corrections = -241 kJ/mol of atoms
Calculated volume = 268.15 Å³ per cell

The structure in CIF format:
```
data_ErUTlO6
_chemical_formula_sum 'Er2 U2 Tl2 O12'
_cell_length_a 5.619
_cell_length_b 5.619
_cell_length_c 9.806
_cell_angle_alpha 90.00
_cell_angle_beta 90.00
_cell_angle_gamma 120.00
_symmetry_space_group_name_H-M 'P 1'
_symmetry_Int_Tables_number 1
_symmetry_space_group_name_Hall 'P 1'
loop_
_atom_site_label
_atom_site_fract_x
_atom_site_fract_y
_atom_site_fract_z
Er1 0.000 0.000 0.000
Er2 0.000 0.000 0.500
U1 0.333 0.667 0.250
U2 0.667 0.333 0.750
Tl1 0.333 0.667 0.750
Tl2 0.667 0.333 0.250
O1 0.028 0.350 0.131
O2 0.028 0.678 0.369
O3 0.322 0.350 0.369
O4 0.322 0.972 0.131
O5 0.350 0.028 0.631
O6 0.350 0.322 0.869
O7 0.650 0.678 0.131
O8 0.650 0.972 0.369
O9 0.678 0.028 0.869
O10 0.678 0.650 0.631
O11 0.972 0.322 0.631
O12 0.972 0.650 0.869
```


Q: What is the calculated volume in the fifth record?
A: 337.36 Å³ per cell